--- a ---
Compound: AlPOs
Source: Alexandria
Functional: PBE
Structure: optimized geometry

The space group is F-43m (No. 216) and the conventional cell measures 5.638, 5.638 and 5.638 Å, with angles of 90.00, 90.00 and 90.00 degrees. The asymmetric unit holds Al at (0.000, 0.000, 0.000), P at (0.250, 0.250, 0.750) and Os at (0.000, 0.000, 0.500).

The calculation puts the density of states at the Fermi level at 8.5 states/eV per cell.

***

--- b ---
Compound: AlPOs
Source: Alexandria
Functional: PBE
Structure: optimized geometry

The space group is Fmm2 (No. 42) and the conventional cell measures 2.930, 5.011 and 12.211 Å, with angles of 90.00, 90.00 and 90.00 degrees. The asymmetric unit holds Al at (0.000, 0.000, 0.000), P at (0.000, 0.000, 0.678) and Os at (0.000, 0.000, 0.325).

The calculation puts the density of states at the Fermi level at 4.1 states/eV per cell.

***

--- c ---
Compound: AlPOs
Source: Alexandria
Functional: PBE
Structure: optimized geometry

The space group is F-43m (No. 216) and the conventional cell measures 5.762, 5.762 and 5.762 Å, with angles of 90.00, 90.00 and 90.00 degrees. The asymmetric unit holds Al at (0.000, 0.000, 0.000), P at (0.000, 0.000, 0.500) and Os at (0.250, 0.250, 0.750).

The calculation puts the density of states at the Fermi level at 11.4 states/eV per cell.

***

--- d ---
Compound: AlPOs
Source: Alexandria
Functional: PBE
Structure: optimized geometry

The space group is P-6m2 (No. 187) and the conventional cell measures 4.0571, 4.0571 and 3.0235 Å, with angles of 90.00, 90.00 and 120.00 degrees. The asymmetric unit holds Al at (0.0000, 0.0000, 0.0000), P at (0.3333, 0.6667, 0.5000) and Os at (0.6667, 0.3333, 0.5000).

The calculation puts the density of states at the Fermi level at 3.7 states/eV per cell.

***

Last place for stability: b

***

--- a ---
Compound: AlPOs
Source: Alexandria
Functional: PBE
Structure: optimized geometry

The space group is P3m1 (No. 156) and the conventional cell measures 2.9973, 2.9973 and 5.5925 Å, with angles of 90.00, 90.00 and 120.00 degrees. The asymmetric unit holds Al at (0.0000, 0.0000, 0.0000), P at (0.3333, 0.6667, 0.6469) and Os at (0.6667, 0.3333, 0.3535).

The calculation puts the density of states at the Fermi level at 1.1 states/eV per cell.

***

--- b ---
Compound: AlPOs
Source: Alexandria
Functional: PBE
Structure: optimized geometry

The space group is Imm2 (No. 44) and the conventional cell measures 3.002, 3.605 and 7.656 Å, with angles of 90.00, 90.00 and 90.00 degrees. The asymmetric unit holds Al at (0.000, 0.000, 0.000), P at (0.000, 0.000, 0.327) and Os at (0.000, 0.000, 0.664).

The calculation puts the density of states at the Fermi level at 4.0 states/eV per cell.

***

--- c ---
Compound: AlPOs
Source: Alexandria
Functional: PBE
Structure: optimized geometry

The space group is I4mm (No. 107) and the conventional cell measures 2.923, 2.923 and 10.263 Å, with angles of 90.00, 90.00 and 90.00 degrees. The asymmetric unit holds Al at (0.000, 0.000, 0.000), P at (0.000, 0.000, 0.700) and Os at (0.000, 0.000, 0.327).

The calculation puts the density of states at the Fermi level at 0.7 states/eV per cell.

***

Last place for stability: b

***

--- a ---
Compound: AlPOs3
Source: Alexandria
Functional: PBE
Structure: optimized geometry

The space group is Pm-3m (No. 221) and the conventional cell measures 4.438, 4.438 and 4.438 Å, with angles of 90.00, 90.00 and 90.00 degrees. The asymmetric unit holds Al at (0.000, 0.000, 0.000), P at (0.500, 0.500, 0.500) and Os at (0.000, 0.000, 0.500).

The calculation puts the density of states at the Fermi level at 5.5 states/eV per cell.

***

--- b ---
Compound: AlPOs3
Source: Alexandria
Functional: PBE
Structure: optimized geometry

The space group is Pm-3m (No. 221) and the conventional cell measures 4.335, 4.335 and 4.335 Å, with angles of 90.00, 90.00 and 90.00 degrees. The asymmetric unit holds Al at (0.000, 0.000, 0.000), P at (0.500, 0.500, 0.500) and Os at (0.000, 0.500, 0.500).

The calculation puts the density of states at the Fermi level at 1.9 states/eV per cell.

***

Last place for stability: a

***

--- a ---
Compound: AlPOs2
Source: Alexandria
Functional: PBE
Structure: optimized geometry

The space group is Imm2 (No. 44) and the conventional cell measures 2.928, 3.802 and 10.227 Å, with angles of 90.00, 90.00 and 90.00 degrees. The asymmetric unit holds Al at (0.000, 0.000, 0.000), P at (0.000, 0.500, 0.258), Os at (0.000, 0.000, 0.579) and Os at (0.000, 0.500, 0.822).

The calculation puts the density of states at the Fermi level at 4.8 states/eV per cell.

***

--- b ---
Compound: AlPOs2
Source: Alexandria
Functional: PBE
Structure: optimized geometry

The space group is Fm-3m (No. 225) and the conventional cell measures 5.955, 5.955 and 5.955 Å, with angles of 90.00, 90.00 and 90.00 degrees. The asymmetric unit holds Al at (0.000, 0.000, 0.000), P at (0.000, 0.000, 0.500) and Os at (0.250, 0.250, 0.250).

The calculation puts the density of states at the Fermi level at 4.2 states/eV per cell.

***

Last place for stability: a

***

--- a ---
Compound: AlPOs2
Source: Alexandria
Functional: PBE
Structure: optimized geometry

The space group is Cmmm (No. 65) and the conventional cell measures 2.887, 5.010 and 7.983 Å, with angles of 90.00, 90.00 and 90.00 degrees. The asymmetric unit holds Al at (0.000, 0.000, 0.000), P at (0.000, 0.000, 0.500) and Os at (0.000, 0.500, 0.269).

The calculation puts the density of states at the Fermi level at 5.9 states/eV per cell.

***

--- b ---
Compound: AlPOs2
Source: Alexandria
Functional: PBE
Structure: optimized geometry

The space group is Pm (No. 6) and the conventional cell measures 2.890, 4.475 and 4.340 Å, with angles of 90.00, 95.44 and 90.00 degrees. The asymmetric unit holds Al at (0.000, 0.000, 0.000), P at (0.434, 0.500, 0.236), Os at (0.038, 0.500, 0.693) and Os at (0.511, 0.000, 0.494).

The calculation puts the density of states at the Fermi level at 2.2 states/eV per cell.

***

Last place for stability: a

***

--- a ---
Compound: PaAlTcOs
Source: Alexandria
Functional: PBE
Structure: optimized geometry

The space group is F-43m (No. 216) and the conventional cell measures 6.545, 6.545 and 6.545 Å, with angles of 90.00, 90.00 and 90.00 degrees. The asymmetric unit holds Pa at (0.000, 0.000, 0.000), Al at (0.000, 0.000, 0.500), Tc at (0.250, 0.250, 0.750) and Os at (0.250, 0.250, 0.250).

The calculation puts the density of states at the Fermi level at 6.7 states/eV per cell.

***

--- b ---
Compound: PaAlTcOs
Source: Alexandria
Functional: PBE
Structure: optimized geometry

The space group is Pmmm (No. 47) and the conventional cell measures 3.558, 4.347 and 4.439 Å, with angles of 90.00, 90.00 and 90.00 degrees. The asymmetric unit holds Pa at (0.000, 0.000, 0.000), Al at (0.000, 0.500, 0.500), Tc at (0.500, 0.500, 0.000) and Os at (0.500, 0.000, 0.500).

The calculation puts the density of states at the Fermi level at 2.6 states/eV per cell.

***

Last place for stability: a